# 1
# Tl6Pd3Pt

An optimized crystal structure of Tl6Pd3Pt (PBE, Alexandria).

```
data_Tl6Pd3Pt
_chemical_formula_sum 'Tl12 Pd6 Pt2'
_space_group_name_H-M_alt 'P 1'
_space_group_IT_number 1
_cell_length_a 3.6375
_cell_length_b 11.6907
_cell_length_c 12.0124
_cell_angle_alpha 112.81
_cell_angle_beta 90.00
_cell_angle_gamma 90.00
loop_
_space_group_symop_operation_xyz
'x,y,z'
loop_
_atom_site_label
_atom_site_type_symbol
_atom_site_fract_x
_atom_site_fract_y
_atom_site_fract_z
Tl1 Tl 0.7500 0.4969 0.6316
Tl2 Tl 0.2500 0.5031 0.3684
Tl3 Tl 0.7500 0.9185 0.1436
Tl4 Tl 0.2500 0.0815 0.8564
Tl5 Tl 0.7500 0.3504 0.0688
Tl6 Tl 0.2500 0.6496 0.9312
Tl7 Tl 0.7500 0.7022 0.2775
Tl8 Tl 0.2500 0.2978 0.7225
Tl9 Tl 0.7500 0.1081 0.4514
Tl10 Tl 0.2500 0.8919 0.5486
Tl11 Tl 0.7500 0.7968 0.7652
Tl12 Tl 0.2500 0.2032 0.2348
Pd1 Pd 0.7500 0.4570 0.8942
Pd2 Pd 0.2500 0.5430 0.1058
Pd3 Pd 0.7500 0.6898 0.5157
Pd4 Pd 0.2500 0.3102 0.4843
Pd5 Pd 0.7500 0.1047 0.0414
Pd6 Pd 0.2500 0.8953 0.9586
Pt1 Pt 0.7500 0.0948 0.6838
Pt2 Pt 0.2500 0.9052 0.3162
```

Output
Uncorrected energy   -0.134 Ha/atom
N(E_F)   3.82 states/eV/f.u.
Symmetry   P2_1/m


# 2
# UTlPdPt

An optimized crystal structure of UTlPdPt (PBE, Alexandria).

```
data_UTlPdPt
_chemical_formula_sum 'U1 Tl1 Pd1 Pt1'
_space_group_name_H-M_alt 'P 1'
_space_group_IT_number 1
_cell_length_a 4.8687
_cell_length_b 4.8687
_cell_length_c 4.8687
_cell_angle_alpha 60.00
_cell_angle_beta 60.00
_cell_angle_gamma 60.00
loop_
_space_group_symop_operation_xyz
'x,y,z'
loop_
_atom_site_label
_atom_site_type_symbol
_atom_site_fract_x
_atom_site_fract_y
_atom_site_fract_z
Tl1 Tl 0.5000 0.5000 0.5000
U1 U 0.0000 0.0000 0.0000
Pd1 Pd 0.2500 0.2500 0.2500
Pt1 Pt 0.7500 0.7500 0.7500
```

Output
Uncorrected energy   -0.240 Ha/atom
N(E_F)   5.95 states/eV/f.u.
Symmetry   F-43m


# 3
# Tl2ZnPdPt

An optimized crystal structure of Tl2ZnPdPt (PBE, Alexandria).

```
data_Tl2ZnPdPt
_chemical_formula_sum 'Tl2 Zn1 Pd1 Pt1'
_space_group_name_H-M_alt 'P 1'
_space_group_IT_number 1
_cell_length_a 5.1927
_cell_length_b 4.7446
_cell_length_c 5.1927
_cell_angle_alpha 90.00
_cell_angle_beta 90.00
_cell_angle_gamma 90.00
loop_
_space_group_symop_operation_xyz
'x,y,z'
loop_
_atom_site_label
_atom_site_type_symbol
_atom_site_fract_x
_atom_site_fract_y
_atom_site_fract_z
Zn1 Zn 0.0000 0.5000 0.0000
Tl1 Tl 0.0000 0.0000 0.5000
Tl2 Tl 0.5000 0.0000 0.0000
Pd1 Pd 0.0000 0.0000 0.0000
Pt1 Pt 0.5000 0.5000 0.5000
```

Output
Uncorrected energy   -0.112 Ha/atom
N(E_F)   2.47 states/eV/f.u.
Symmetry   P4/mmm


# 4
# ZrTlPdPt

An optimized crystal structure of ZrTlPdPt (PBE, Alexandria).

```
data_ZrTlPdPt
_chemical_formula_sum 'Zr1 Tl1 Pd1 Pt1'
_space_group_name_H-M_alt 'P 1'
_space_group_IT_number 1
_cell_length_a 4.7339
_cell_length_b 4.7339
_cell_length_c 4.7339
_cell_angle_alpha 60.00
_cell_angle_beta 60.00
_cell_angle_gamma 60.00
loop_
_space_group_symop_operation_xyz
'x,y,z'
loop_
_atom_site_label
_atom_site_type_symbol
_atom_site_fract_x
_atom_site_fract_y
_atom_site_fract_z
Zr1 Zr 0.5000 0.5000 0.5000
Tl1 Tl 0.0000 0.0000 0.0000
Pd1 Pd 0.2500 0.2500 0.2500
Pt1 Pt 0.7500 0.7500 0.7500
```

Output
Uncorrected energy   -0.223 Ha/atom
N(E_F)   3.20 states/eV/f.u.
Symmetry   F-43m


# 5
# TmPd2Pt6

An optimized crystal structure of TmPd2Pt6 (PBE, Alexandria).

```
data_TmPd2Pt6
_chemical_formula_sum 'Tm1 Pd2 Pt6'
_space_group_name_H-M_alt 'P 1'
_space_group_IT_number 1
_cell_length_a 3.9895
_cell_length_b 6.3351
_cell_length_c 7.0702
_cell_angle_alpha 63.38
_cell_angle_beta 81.99
_cell_angle_gamma 71.87
loop_
_space_group_symop_operation_xyz
'x,y,z'
loop_
_atom_site_label
_atom_site_type_symbol
_atom_site_fract_x
_atom_site_fract_y
_atom_site_fract_z
Tm1 Tm 0.0000 0.0000 0.0000
Pd1 Pd 0.5000 0.8406 0.3188
Pd2 Pd 0.5000 0.1594 0.6812
Pt1 Pt 0.1624 0.8189 0.6820
Pt2 Pt 0.8376 0.1811 0.3180
Pt3 Pt 0.3350 0.3353 0.0000
Pt4 Pt 0.1624 0.5008 0.3180
Pt5 Pt 0.8376 0.4992 0.6820
Pt6 Pt 0.6650 0.6647 0.0000
```

Output
Uncorrected energy   -0.222 Ha/atom
N(E_F)   9.28 states/eV/f.u.
Symmetry   C2/m


# 6
# Tm2Pd7Pt3

An optimized crystal structure of Tm2Pd7Pt3 (PBE, Alexandria).

```
data_Tm2Pd7Pt3
_chemical_formula_sum 'Tm2 Pd7 Pt3'
_space_group_name_H-M_alt 'P 1'
_space_group_IT_number 1
_cell_length_a 3.0437
_cell_length_b 4.3162
_cell_length_c 16.8267
_cell_angle_alpha 90.00
_cell_angle_beta 95.27
_cell_angle_gamma 90.00
loop_
_space_group_symop_operation_xyz
'x,y,z'
loop_
_atom_site_label
_atom_site_type_symbol
_atom_site_fract_x
_atom_site_fract_y
_atom_site_fract_z
Tm1 Tm 0.3610 0.5000 0.7254
Tm2 Tm 0.6390 0.5000 0.2746
Pd1 Pd 0.2843 0.5000 0.5680
Pd2 Pd 0.7157 0.5000 0.4320
Pd3 Pd 0.4233 0.0000 0.8482
Pd4 Pd 0.0000 0.0000 0.0000
Pd5 Pd 0.5767 0.0000 0.1518
Pd6 Pd 0.0678 0.5000 0.1341
Pd7 Pd 0.9322 0.5000 0.8659
Pt1 Pt 0.5000 0.5000 0.0000
Pt2 Pt 0.8195 0.0000 0.6410
Pt3 Pt 0.1805 0.0000 0.3590
```

Output
Uncorrected energy   -0.202 Ha/atom
N(E_F)   10.31 states/eV/f.u.
Symmetry   P2/m